Density functional theory data (GGA-PBE) for a geometry-optimized BaBi2AsRh2 structure.

Cell and atoms, written as POSCAR:
```
BaBi2AsRh2
1.0
4.819 0.000 0.000
0.000 4.819 0.000
0.000 0.000 6.729
Ba Bi As Rh
1 2 1 2
direct
0.000 0.000 0.000
0.500 0.500 0.252
0.500 0.500 0.748
0.000 0.000 0.500
0.000 0.500 0.500
0.500 0.000 0.500
```

Computed properties:
**VASP energy**: -5.256 eV per atom
**SG**: P4/mmm
**Crystal system**: tetragonal

---

Density functional theory data (GGA-PBE) for a geometry-optimized Ba6Bi2AsS structure.

Cell and atoms, written as POSCAR:
```
Ba6Bi2AsS
1.0
8.096 0.000 0.000
0.000 9.176 0.000
-8.082 0.000 11.953
Ba Bi As S
12 4 2 2
direct
0.113 0.191 0.436
0.113 0.309 0.936
0.257 0.692 0.439
0.257 0.808 0.939
0.374 0.045 0.248
0.374 0.455 0.748
0.626 0.545 0.252
0.626 0.955 0.752
0.743 0.192 0.061
0.743 0.308 0.561
0.887 0.691 0.064
0.887 0.809 0.564
0.209 0.095 0.752
0.209 0.405 0.252
0.791 0.595 0.748
0.791 0.905 0.248
0.500 0.000 0.500
0.500 0.500 0.000
0.000 0.000 0.000
0.000 0.500 0.500
```

Computed properties:
**SG**: P2_1/c
**Formation energy from raw total energies**: -11.32 eV per formula unit
**Crystal system**: monoclinic

---

Density functional theory data (GGA-PBE) for a geometry-optimized Ba6BiSb2As structure.

Cell and atoms, written as POSCAR:
```
Ba6BiSb2As
1.0
8.535 0.000 0.000
0.000 9.192 0.000
-8.408 0.000 12.145
Ba Bi Sb As
12 2 4 2
direct
0.090 0.078 0.241
0.090 0.422 0.741
0.253 0.695 0.078
0.253 0.805 0.578
0.377 0.177 0.068
0.377 0.323 0.568
0.623 0.677 0.432
0.623 0.823 0.932
0.747 0.195 0.422
0.747 0.305 0.922
0.910 0.578 0.259
0.910 0.922 0.759
0.500 0.000 0.500
0.500 0.500 0.000
0.283 0.082 0.754
0.283 0.418 0.254
0.717 0.582 0.746
0.717 0.918 0.246
0.000 0.000 0.000
0.000 0.500 0.500
```

Computed properties:
**SG**: P2_1/c
**Formation energy from raw total energies**: -9.74 eV per formula unit
**Crystal system**: monoclinic

---

Please write out number 1 again, unchanged.
Density functional theory data (GGA-PBE) for a geometry-optimized BaBi2AsRh2 structure.

Cell and atoms, written as POSCAR:
```
BaBi2AsRh2
1.0
4.819 0.000 0.000
0.000 4.819 0.000
0.000 0.000 6.729
Ba Bi As Rh
1 2 1 2
direct
0.000 0.000 0.000
0.500 0.500 0.252
0.500 0.500 0.748
0.000 0.000 0.500
0.000 0.500 0.500
0.500 0.000 0.500
```

Computed properties:
**VASP energy**: -5.256 eV per atom
**SG**: P4/mmm
**Crystal system**: tetragonal